BaCu2Au (GGA-PBE, optimized geometry); crystal system = tetragonal; uncorrected energy = -3.53 eV/atom; energy of formation from the pure elements = -0.711 eV per formula unit; polymorph energy (0 for the lowest one) = 0.0728 eV/atom; V = 26.3 Å³/atom
1.0
-2.416 2.416 9.021
2.416 -2.416 9.021
2.416 2.416 -9.021
Ba Cu Au
2 4 2
Direct
0.375 0.625 0.750 Ba
0.625 0.375 0.250 Ba
0.000 0.000 0.000 Cu
0.000 0.000 0.500 Cu
0.000 0.500 0.000 Cu
0.500 0.000 0.500 Cu
0.125 0.875 0.250 Au
0.875 0.125 0.750 Au


HfTlV2Cl (GGA-PBE, optimized geometry); crystal system = tetragonal; formation energy without anion corrections = 1.328 eV per atom; uncorrected energy = -5.15 eV/atom; V = 27.2 Å³/atom
1.0
4.872 0.000 0.000
0.000 4.872 0.000
0.000 0.000 5.728
Hf Tl V Cl
1 1 2 1
Direct
0.000 0.000 0.000 Hf
0.000 0.000 0.500 Tl
0.000 0.500 0.000 V
0.500 0.000 0.000 V
0.500 0.500 0.500 Cl


Be2PH (GGA-PBE, optimized geometry); crystal system = monoclinic; uncorrected energy = -4.24 eV/atom; polymorph energy (0 for the lowest one) = 0.0000 eV/atom; V = 11.0 Å³/atom
1.0
4.609 0.000 0.000
0.000 3.518 0.000
-2.015 0.000 5.444
Be P H
4 2 2
Direct
0.000 0.000 0.000 Be
0.072 0.500 0.307 Be
0.462 0.000 0.000 Be
0.638 0.500 0.533 Be
0.381 0.000 0.343 P
0.696 0.500 0.922 P
0.152 0.000 0.818 H
0.935 0.500 0.495 H